# 1
CuReBPd: relaxed, PBE.

Output
The value obtained for the total energy is -6.286 eV per atom. The energy above the most stable polymorph in this dataset comes out at 0.0 kJ per mole of atoms. For the magnetization, the calculation gives 0.29 μB/f.u.

a b c (Å): 4.1297 4.1297 4.1297
angles (deg): 60.00 60.00 60.00
Atoms (fractional coordinates):
1 B 0.0000 0.0000 0.0000
2 Cu 0.7500 0.7500 0.7500
3 Pd 0.5000 0.5000 0.5000
4 Re 0.2500 0.2500 0.2500

# 2
ScCuBPd: relaxed, PBE.

Output
The value obtained for the total energy is -5.431 eV per atom. The energy above the most stable polymorph in this dataset comes out at 0.0 kJ per mole of atoms. For the magnetization, the calculation gives 0.00 μB/f.u.

a b c (Å): 4.2812 4.2812 4.2812
angles (deg): 60.00 60.00 60.00
Atoms (fractional coordinates):
1 B 0.0000 0.0000 0.0000
2 Cu 0.7500 0.7500 0.7500
3 Pd 0.5000 0.5000 0.5000
4 Sc 0.2500 0.2500 0.2500

# 3
ScCuBPd: relaxed, PBE.

Output
The value obtained for the total energy is -5.423 eV per atom. The energy above the most stable polymorph in this dataset comes out at 0.7 kJ per mole of atoms. For the magnetization, the calculation gives 0.00 μB/f.u.

a b c (Å): 4.2263 4.2263 4.2263
angles (deg): 60.00 60.00 60.00
Atoms (fractional coordinates):
1 B 0.0000 0.0000 0.0000
2 Cu 0.7500 0.7500 0.7500
3 Pd 0.2500 0.2500 0.2500
4 Sc 0.5000 0.5000 0.5000

# 4
CuSnBPd: relaxed, PBE.

Output
The value obtained for the total energy is -4.305 eV per atom. The energy above the most stable polymorph in this dataset comes out at 0.0 kJ per mole of atoms.

a b c (Å): 4.3421 4.3421 4.3421
angles (deg): 60.00 60.00 60.00
Atoms (fractional coordinates):
1 B 0.2500 0.2500 0.2500
2 Cu 0.7500 0.7500 0.7500
3 Pd 0.5000 0.5000 0.5000
4 Sn 0.0000 0.0000 0.0000

# 5
TaCuBPd: relaxed, PBE.

Output
The value obtained for the total energy is -6.585 eV per atom. The energy above the most stable polymorph in this dataset comes out at 0.0 kJ per mole of atoms. For the magnetization, the calculation gives 0.00 μB/f.u.

a b c (Å): 4.2101 4.2101 4.2101
angles (deg): 60.00 60.00 60.00
Atoms (fractional coordinates):
1 B 0.0000 0.0000 0.0000
2 Cu 0.7500 0.7500 0.7500
3 Pd 0.5000 0.5000 0.5000
4 Ta 0.2500 0.2500 0.2500

# 6
TaCuBPd: relaxed, PBE.

Output
The value obtained for the total energy is -6.359 eV per atom. The energy above the most stable polymorph in this dataset comes out at 21.8 kJ per mole of atoms. For the magnetization, the calculation gives 0.00 μB/f.u.

a b c (Å): 4.2220 4.2220 4.2220
angles (deg): 60.00 60.00 60.00
Atoms (fractional coordinates):
1 B 0.0000 0.0000 0.0000
2 Cu 0.7500 0.7500 0.7500
3 Pd 0.2500 0.2500 0.2500
4 Ta 0.5000 0.5000 0.5000

# 7
CuTcBPd: relaxed, PBE.

Output
The value obtained for the total energy is -5.909 eV per atom. The energy above the most stable polymorph in this dataset comes out at 0.0 kJ per mole of atoms. For the magnetization, the calculation gives 0.34 μB/f.u.

a b c (Å): 4.1214 4.1214 4.1214
angles (deg): 60.00 60.00 60.00
Atoms (fractional coordinates):
1 B 0.0000 0.0000 0.0000
2 Cu 0.7500 0.7500 0.7500
3 Pd 0.5000 0.5000 0.5000
4 Tc 0.2500 0.2500 0.2500

# 8
CuBPdW: relaxed, PBE.

Output
The value obtained for the total energy is -6.511 eV per atom. The energy above the most stable polymorph in this dataset comes out at 0.0 kJ per mole of atoms. For the magnetization, the calculation gives 0.02 μB/f.u.

a b c (Å): 4.1602 4.1602 4.1602
angles (deg): 60.00 60.00 60.00
Atoms (fractional coordinates):
1 B 0.0000 0.0000 0.0000
2 Cu 0.7500 0.7500 0.7500
3 Pd 0.5000 0.5000 0.5000
4 W 0.2500 0.2500 0.2500

# 9
CuBPdW: relaxed, PBE.

Output
The value obtained for the total energy is -6.186 eV per atom. The energy above the most stable polymorph in this dataset comes out at 31.3 kJ per mole of atoms. For the magnetization, the calculation gives 0.32 μB/f.u.

a b c (Å): 4.1848 4.1848 4.1848
angles (deg): 60.00 60.00 60.00
Atoms (fractional coordinates):
1 B 0.0000 0.0000 0.0000
2 Cu 0.7500 0.7500 0.7500
3 Pd 0.2500 0.2500 0.2500
4 W 0.5000 0.5000 0.5000

# 10
ZnCuBPd: relaxed, PBE.

Output
The value obtained for the total energy is -3.912 eV per atom. The energy above the most stable polymorph in this dataset comes out at 0.0 kJ per mole of atoms.

a b c (Å): 4.0650 4.0650 4.0650
angles (deg): 60.00 60.00 60.00
Atoms (fractional coordinates):
1 B 0.0000 0.0000 0.0000
2 Cu 0.7500 0.7500 0.7500
3 Pd 0.2500 0.2500 0.2500
4 Zn 0.5000 0.5000 0.5000

# 11
ZnCuBPd: relaxed, PBE.

Output
The value obtained for the total energy is -3.749 eV per atom. The energy above the most stable polymorph in this dataset comes out at 15.8 kJ per mole of atoms.

a b c (Å): 4.1160 4.1160 4.1160
angles (deg): 60.00 60.00 60.00
Atoms (fractional coordinates):
1 B 0.0000 0.0000 0.0000
2 Cu 0.2500 0.2500 0.2500
3 Pd 0.5000 0.5000 0.5000
4 Zn 0.7500 0.7500 0.7500

# 12
PmCuB: relaxed, PBE.

Output
The value obtained for the total energy is -4.846 eV per atom. The energy above the most stable polymorph in this dataset comes out at 0.0 kJ per mole of atoms. For the magnetization, the calculation gives 0.17 μB/f.u.

a b c (Å): 4.2150 4.2150 4.2150
angles (deg): 60.00 60.00 60.00
Atoms (fractional coordinates):
1 B 0.0000 0.0000 0.0000
2 Cu 0.2500 0.2500 0.2500
3 Pm 0.7500 0.7500 0.7500